Entry 1:
A relaxed structure of Pa2Ag, computed with PBE.

The structure in extended XYZ format:
```
3
Lattice="-2.529 1.958 -3.986 -5.102 -0.252 -0.163 -0.170 2.557 1.363" Properties=species:S:1:pos:R:3 pbc="T T T"
Pa -3.781 1.940 0.443
Pa -6.325 2.507 -0.940
Ag -3.682 2.050 -2.842
```

Results
- Theoretical density: 14.41 g/cm³
- Symmetry: P6/mmm, No. 191
- Total energy: -0.2579 Ha/atom
- Energy of formation from the pure elements: 0.26 eV per atom



Entry 2:
A relaxed structure of PaAg2, computed with PBE.

The structure in extended XYZ format:
```
3
Lattice="3.010 0.000 0.000 0.000 3.010 0.000 -1.505 -1.505 6.870" Properties=species:S:1:pos:R:3 pbc="T T T"
Ag 1.505 1.505 2.431
Ag 0.000 0.000 4.438
Pa 0.000 0.000 0.000
```

Results
- Theoretical density: 11.92 g/cm³
- Symmetry: I4/mmm, No. 139
- Total energy: -0.1801 Ha/atom
- Energy of formation from the pure elements: 0.17 eV per atom